Density functional theory data (PBEsol) for a relaxed CoH8SO8 crystal.

POSCAR file:
```
CoH8SO8
1.0
5.9059 0.0000 0.0000
0.0000 13.2445 0.0000
-5.6614 0.0000 7.7562
Co H S O
4 32 4 32
direct
0.1976 0.1036 0.2768 Co
0.1976 0.3964 0.7768 Co
0.8024 0.6036 0.2232 Co
0.8024 0.8964 0.7232 Co
0.0112 0.0973 0.9423 H
0.0112 0.4027 0.4423 H
0.1065 0.7351 0.7874 H
0.1065 0.7649 0.2874 H
0.2009 0.1925 0.7835 H
0.2009 0.3075 0.2835 H
0.2363 0.1881 0.0429 H
0.2363 0.3119 0.5429 H
0.2639 0.5786 0.0533 H
0.2639 0.9214 0.5533 H
0.2795 0.5107 0.3236 H
0.2795 0.9893 0.8236 H
0.3463 0.5876 0.4731 H
0.3463 0.9124 0.9731 H
0.3516 0.6810 0.1649 H
0.3516 0.8190 0.6649 H
0.6484 0.1810 0.3351 H
0.6484 0.3190 0.8351 H
0.6537 0.0876 0.0269 H
0.6537 0.4124 0.5269 H
0.7205 0.0107 0.1764 H
0.7205 0.4893 0.6764 H
0.7361 0.0786 0.4467 H
0.7361 0.4214 0.9467 H
0.7637 0.6881 0.4571 H
0.7637 0.8119 0.9571 H
0.7991 0.6925 0.7165 H
0.7991 0.8075 0.2165 H
0.8935 0.2351 0.7126 H
0.8935 0.2649 0.2126 H
0.9888 0.5973 0.5577 H
0.9888 0.9027 0.0577 H
0.4885 0.1103 0.6812 S
0.4885 0.3897 0.1812 S
0.5115 0.6103 0.8188 S
0.5115 0.8897 0.3188 S
0.0970 0.2501 0.2896 O
0.0970 0.2499 0.7896 O
0.1618 0.1255 0.0583 O
0.1618 0.3745 0.5583 O
0.2186 0.5749 0.3469 O
0.2186 0.9251 0.8469 O
0.2470 0.5524 0.7477 O
0.2470 0.9476 0.2477 O
0.2604 0.0676 0.5103 O
0.2604 0.4324 0.0103 O
0.3778 0.6407 0.0885 O
0.3778 0.8593 0.5885 O
0.4032 0.0980 0.8002 O
0.4032 0.4020 0.3002 O
0.4606 0.7181 0.8287 O
0.4606 0.7819 0.3287 O
0.5394 0.2181 0.6713 O
0.5394 0.2819 0.1713 O
0.5968 0.5980 0.6998 O
0.5968 0.9020 0.1998 O
0.6222 0.1407 0.4115 O
0.6222 0.3593 0.9115 O
0.7396 0.5676 0.9897 O
0.7396 0.9324 0.4897 O
0.7530 0.0524 0.7523 O
0.7530 0.4476 0.2523 O
0.7814 0.0749 0.1531 O
0.7814 0.4251 0.6531 O
0.8382 0.6255 0.4417 O
0.8382 0.8745 0.9417 O
0.9030 0.7501 0.2104 O
0.9030 0.7499 0.7104 O
```

Properties
**Space group**: No. 14


Density functional theory data (PBEsol) for a relaxed CoH2SeO4 crystal.

POSCAR file:
```
CoH2SeO4
1.0
4.6867 0.0000 0.0000
0.0000 12.8110 0.0000
-4.4284 0.0000 5.5652
Co H Se O
4 8 4 16
direct
0.2051 0.2364 0.3743 Co
0.2051 0.2636 0.8743 Co
0.7949 0.7364 0.1257 Co
0.7949 0.7636 0.6257 Co
0.2738 0.6087 0.9540 H
0.2738 0.8913 0.4540 H
0.4250 0.6318 0.2228 H
0.4250 0.8682 0.7228 H
0.5750 0.1318 0.2772 H
0.5750 0.3682 0.7772 H
0.7262 0.1087 0.5460 H
0.7262 0.3913 0.0460 H
0.3726 0.5959 0.6214 Se
0.3726 0.9041 0.1214 Se
0.6274 0.0959 0.8786 Se
0.6274 0.4041 0.3786 Se
0.0318 0.6222 0.6361 O
0.0318 0.8778 0.1361 O
0.2783 0.1818 0.6582 O
0.2783 0.3182 0.1582 O
0.2790 0.6767 0.3873 O
0.2790 0.8233 0.8873 O
0.4996 0.1103 0.3757 O
0.4996 0.3897 0.8757 O
0.5004 0.6103 0.1243 O
0.5004 0.8897 0.6243 O
0.7210 0.1767 0.1127 O
0.7210 0.3233 0.6127 O
0.7217 0.6818 0.8418 O
0.7217 0.8182 0.3418 O
0.9682 0.1222 0.8639 O
0.9682 0.3778 0.3639 O
```

Properties
**Space group**: No. 14


Density functional theory data (PBEsol) for a relaxed Tl2CoH12Se2O14 crystal.

POSCAR file:
```
Tl2CoH12Se2O14
1.0
6.3465 0.0000 0.0000
0.0000 12.2489 0.0000
-2.1179 0.0000 8.9322
Tl Co H Se O
4 2 24 4 28
direct
0.1745 0.1629 0.3630 Tl
0.1745 0.3371 0.8630 Tl
0.8255 0.6629 0.1370 Tl
0.8255 0.8371 0.6370 Tl
0.5000 0.0000 0.0000 Co
0.5000 0.5000 0.5000 Co
0.1683 0.6371 0.4698 H
0.1683 0.8629 0.9698 H
0.1737 0.5579 0.6114 H
0.1737 0.9421 0.1114 H
0.1824 0.0832 0.7881 H
0.1824 0.4168 0.2881 H
0.4087 0.1225 0.7512 H
0.4087 0.3775 0.2512 H
0.4158 0.5970 0.2284 H
0.4158 0.9030 0.7284 H
0.4947 0.6898 0.3513 H
0.4947 0.8102 0.8513 H
0.5053 0.1898 0.1487 H
0.5053 0.3102 0.6487 H
0.5842 0.0970 0.2716 H
0.5842 0.4030 0.7716 H
0.5913 0.6225 0.7488 H
0.5913 0.8775 0.2488 H
0.8176 0.5832 0.7119 H
0.8176 0.9168 0.2119 H
0.8263 0.0579 0.8886 H
0.8263 0.4421 0.3886 H
0.8317 0.1371 0.0302 H
0.8317 0.3629 0.5302 H
0.2190 0.6369 0.9072 Se
0.2190 0.8631 0.4072 Se
0.7810 0.1369 0.5928 Se
0.7810 0.3631 0.0928 Se
0.0626 0.7468 0.9073 O
0.0626 0.7532 0.4073 O
0.0924 0.5556 0.7673 O
0.0924 0.9444 0.2673 O
0.2211 0.5644 0.5146 O
0.2211 0.9356 0.0146 O
0.2484 0.5688 0.0665 O
0.2484 0.9312 0.5665 O
0.3328 0.1093 0.8337 O
0.3328 0.3907 0.3337 O
0.4598 0.6757 0.8788 O
0.4598 0.8243 0.3788 O
0.4762 0.1126 0.1749 O
0.4762 0.3874 0.6749 O
0.5238 0.6126 0.3251 O
0.5238 0.8874 0.8251 O
0.5402 0.1757 0.6212 O
0.5402 0.3243 0.1212 O
0.6672 0.6093 0.6663 O
0.6672 0.8907 0.1663 O
0.7516 0.0688 0.4335 O
0.7516 0.4312 0.9335 O
0.7789 0.0644 0.9854 O
0.7789 0.4356 0.4854 O
0.9076 0.0556 0.7327 O
0.9076 0.4444 0.2327 O
0.9374 0.2468 0.5927 O
0.9374 0.2532 0.0927 O
```

Properties
**Space group**: No. 14


| no. | DOS at the Fermi energy (states/eV/f.u.) | DFT total energy (eV per atom) |
| --- | --- | --- |
| 1 | 1.1 | -5.56 |
| 2 | 3.6 | -5.73 |
| 3 | 3.1 | -5.24 |